Here is PRh2S after structural relaxation from Alexandria. Energies are from PBE.

a = 5.2863 Å, b = 5.2863 Å, c = 10.4281 Å
α = 90.00°, β = 90.00°, γ = 90.00°
Closest atoms and distances in Å follow each position.
Space group I-42d (No. 122)
Asymmetric unit:
1 P 0.0000 0.0000 0.0000 [4 per cell]  4 Rh 2.26
2 Rh 0.2432 0.2500 0.1250 [8 per cell]  2 P 2.26, 2 S 2.30
3 S 0.0000 0.0000 0.5000 [4 per cell]  4 Rh 2.30

Output
* crystal system: tetragonal


Here is Sc6P2RhS3 after structural relaxation from Alexandria. Energies are from PBE.

a = 16.3629 Å, b = 3.7081 Å, c = 7.5372 Å
α = 90.00°, β = 103.80°, γ = 90.00°
Closest atoms and distances in Å follow each position.
Space group C2/m (No. 12)
Asymmetric unit:
1 Sc 0.0010 0.0000 0.2502 [4 per cell]  1 P 2.62, 2 Rh 2.64, 3 S 2.65-2.69
2 Sc 0.1661 0.5000 0.0885 [4 per cell]  2 P 2.62, 3 S 2.63-2.69, 1 Rh 2.64
3 Sc 0.1701 0.5000 0.5785 [4 per cell]  3 P 2.60-2.61, 3 S 2.67-2.70
4 P 0.1660 0.0000 0.3332 [4 per cell]  6 Sc 2.60-2.62
5 Rh 0.0000 0.5000 0.0000 [2 per cell]  6 Sc 2.64
6 S 0.0000 0.5000 0.5000 [2 per cell]  6 Sc 2.65-2.70
7 S 0.1684 0.0000 0.8318 [4 per cell]  6 Sc 2.63-2.69

Output
* crystal system: monoclinic


Here is ScPRhS2 after structural relaxation from Alexandria. Energies are from PBE.

a = 4.7934 Å, b = 4.7934 Å, c = 4.3429 Å
α = 90.00°, β = 90.00°, γ = 90.00°
Closest atoms and distances in Å follow each position.
Space group P4/mmm (No. 123)
Asymmetric unit:
1 Sc 0.0000 0.0000 0.0000 [1 per cell]  8 S 3.23, 4 P 3.39
2 P 0.5000 0.5000 0.0000 [1 per cell]  2 Rh 2.17
3 Rh 0.5000 0.5000 0.5000 [1 per cell]  2 P 2.17, 4 S 2.40
4 S 0.0000 0.5000 0.5000 [2 per cell]  2 Rh 2.40

Output
* crystal system: tetragonal


Here is ScP2RhS after structural relaxation from Alexandria. Energies are from PBE.

a = 4.4641 Å, b = 4.4641 Å, c = 4.9908 Å
α = 90.00°, β = 90.00°, γ = 90.00°
Closest atoms and distances in Å follow each position.
Space group P4/mmm (No. 123)
Asymmetric unit:
1 Sc 0.0000 0.0000 0.0000 [1 per cell]  4 S 3.16, 8 P 3.35
2 P 0.0000 0.5000 0.5000 [2 per cell]  2 Rh 2.23
3 Rh 0.5000 0.5000 0.5000 [1 per cell]  4 P 2.23, 2 S 2.50
4 S 0.5000 0.5000 0.0000 [1 per cell]  2 Rh 2.50

Output
* crystal system: tetragonal


Here is ScPRhS2 after structural relaxation from Alexandria. Energies are from PBE.

a = 4.7757 Å, b = 4.7757 Å, c = 4.9502 Å
α = 90.00°, β = 90.00°, γ = 90.00°
Closest atoms and distances in Å follow each position.
Space group P4/mmm (No. 123)
Asymmetric unit:
1 Sc 0.0000 0.0000 0.0000 [1 per cell]  4 S 2.39, 2 P 2.48
2 P 0.0000 0.0000 0.5000 [1 per cell]  2 Sc 2.48
3 Rh 0.5000 0.5000 0.5000 [1 per cell]  4 P 3.38, 8 S 3.44
4 S 0.0000 0.5000 0.0000 [2 per cell]  2 Sc 2.39

Output
* crystal system: tetragonal


Here is ScP2RhS after structural relaxation from Alexandria. Energies are from PBE.

a = 4.8560 Å, b = 4.8560 Å, c = 4.7302 Å
α = 90.00°, β = 90.00°, γ = 90.00°
Closest atoms and distances in Å follow each position.
Space group P4/mmm (No. 123)
Asymmetric unit:
1 Sc 0.0000 0.0000 0.0000 [1 per cell]  2 S 2.37, 4 P 2.43
2 P 0.0000 0.5000 0.0000 [2 per cell]  2 Sc 2.43
3 Rh 0.5000 0.5000 0.5000 [1 per cell]  8 P 3.39, 4 S 3.43
4 S 0.0000 0.0000 0.5000 [1 per cell]  2 Sc 2.37

Output
* crystal system: tetragonal


Number 1: V 291.42 Å³/cell, formation energy without anion corrections -1.381 eV per formula unit, electronic total energy -102.48 eV per cell. Number 2: V 444.11 Å³/cell, formation energy without anion corrections -18.495 eV per formula unit, electronic total energy -174.08 eV per cell. Number 3: V 99.78 Å³/cell, formation energy without anion corrections -0.660 eV per formula unit, electronic total energy -28.01 eV per cell. Number 4: V 99.46 Å³/cell, formation energy without anion corrections 0.081 eV per formula unit, electronic total energy -28.55 eV per cell. Number 5: V 112.90 Å³/cell, formation energy without anion corrections 2.135 eV per formula unit, electronic total energy -25.21 eV per cell. Number 6: V 111.54 Å³/cell, formation energy without anion corrections 3.374 eV per formula unit, electronic total energy -25.26 eV per cell.